Entry 1:
K2Na3 (PBE, relaxed); ΔE_f = 0.026 eV/atom; E above lowest polymorph = 0.00 eV per formula unit; E = -1.20 eV per atom
1.0
-5.3489 -5.0785 2.5897
2.0261 -6.2875 3.6530
-3.1276 2.4115 10.0674
K Na
4 6
Direct
0.7839 0.3565 0.1020
0.2425 0.6435 0.8980
0.8905 0.1435 0.6020
0.6360 0.8565 0.3980
0.5894 0.0000 0.0000
0.3394 0.5000 0.5000
0.1918 0.3646 0.2659
0.8222 0.6354 0.7341
0.3063 0.1354 0.7659
0.2076 0.8646 0.2341

Entry 2:
KNa4 (PBE, relaxed); ΔE_f = 0.361 eV/atom; E above lowest polymorph = 1.50 eV per formula unit; E = -0.91 eV per atom
1.0
6.6069 0.0000 0.0000
0.0000 6.6069 0.0000
0.0000 0.0000 6.6069
Na K
4 1
Direct
0.0000 0.0000 0.0000
0.5000 0.0000 0.5000
0.0000 0.5000 0.5000
0.5000 0.5000 0.0000
0.5000 0.5000 0.5000

Entry 3:
K23Na6 (PBE, relaxed); ΔE_f = 0.034 eV/atom; E = -1.11 eV per atom
1.0
12.1599 0.0000 7.0205
4.0533 11.4644 7.0205
0.0000 0.0000 14.0410
K Na
23 6
Direct
0.0000 0.0000 0.0000
0.7500 0.7500 0.7500
0.2500 0.2500 0.2500
0.6203 0.6203 0.1391
0.6203 0.6203 0.6203
0.6203 0.1391 0.6203
0.1391 0.6203 0.6203
0.3797 0.3797 0.8609
0.3797 0.3797 0.3797
0.3797 0.8609 0.3797
0.8609 0.3797 0.3797
0.6563 0.0000 0.3437
0.0000 0.6563 0.3437
0.0000 0.0000 0.3437
0.0000 0.6563 0.0000
0.6563 0.0000 0.0000
0.0000 0.0000 0.6563
0.0000 0.3437 0.0000
0.0000 0.3437 0.6563
0.6563 0.3437 0.0000
0.3437 0.0000 0.6563
0.3437 0.0000 0.0000
0.3437 0.6563 0.0000
0.7304 0.2696 0.7304
0.2696 0.7304 0.7304
0.2696 0.2696 0.7304
0.2696 0.7304 0.2696
0.7304 0.2696 0.2696
0.7304 0.7304 0.2696

Entry 4:
K3Na2 (PBE, relaxed); ΔE_f = 0.065 eV/atom; E above lowest polymorph = 0.15 eV per formula unit; E = -1.12 eV per atom
1.0
-0.8808 5.5652 6.4825
3.7354 -1.5960 7.5676
8.7360 5.9052 1.8074
Na K
4 6
Direct
0.8080 0.8080 0.5759
0.3080 0.3080 0.0759
0.1920 0.1920 0.4241
0.6920 0.6920 0.9241
0.2279 0.7500 0.7500
0.7500 0.2721 0.7500
0.2721 0.2279 0.7500
0.2500 0.7279 0.2500
0.7279 0.7721 0.2500
0.7721 0.2500 0.2500

Entry 5:
K12Na (PBE, relaxed); ΔE_f = 0.021 eV/atom; E = -1.09 eV per atom
1.0
9.9627 0.0000 -3.5224
-4.9814 8.6280 -3.5224
0.0000 0.0000 10.5671
K Na
12 1
Direct
0.6879 0.5107 0.8228
0.6879 0.8651 0.1772
0.3121 0.1349 0.8228
0.3121 0.4893 0.1772
0.5107 0.8228 0.6879
0.8651 0.1772 0.6879
0.1349 0.8228 0.3121
0.4893 0.1772 0.3121
0.8228 0.6879 0.5107
0.1772 0.6879 0.8651
0.8228 0.3121 0.1349
0.1772 0.3121 0.4893
0.0000 0.0000 0.0000

Entry 6:
K6Na7 (PBE, relaxed); ΔE_f = 0.005 eV/atom; E = -1.21 eV per atom
1.0
7.4484 0.0000 0.0000
3.7242 6.4505 0.0000
3.7242 2.1502 14.0102
K Na
6 7
Direct
0.8331 0.8331 0.5007
0.1669 0.1669 0.4993
0.6520 0.6520 0.0439
0.3480 0.3480 0.9561
0.5499 0.5499 0.3502
0.4501 0.4501 0.6498
0.0000 0.0000 0.0000
0.9071 0.4075 0.7783
0.4075 0.9071 0.7783
0.9071 0.9071 0.7783
0.0929 0.0929 0.2217
0.0929 0.5925 0.2217
0.5925 0.0929 0.2217

Entry 7:
K13Na3 (PBE, relaxed); ΔE_f = 0.015 eV/atom; E = -1.12 eV per atom
1.0
9.6402 -0.0249 0.0000
-0.0207 9.6402 0.0000
0.0000 0.0000 11.1529
K Na
13 3
Direct
0.9902 0.4899 0.7602
0.5075 0.4925 0.7707
0.5101 0.0098 0.7602
0.2210 0.2284 0.0000
0.7716 0.7790 0.0000
0.2343 0.7657 0.0000
0.9902 0.4899 0.2398
0.5075 0.4925 0.2293
0.5101 0.0098 0.2398
0.7618 0.2382 0.5000
0.2394 0.2388 0.5000
0.7612 0.7606 0.5000
0.2389 0.7611 0.5000
0.9919 0.0081 0.7514
0.7724 0.2276 0.0000
0.9919 0.0081 0.2486

Entry 8:
K3Na11 (PBE, relaxed); ΔE_f = 0.031 eV/atom; E = -1.24 eV per atom
1.0
-4.4710 0.7170 -3.7066
-8.8893 -2.1310 5.6912
-3.5815 10.0217 1.6396
K Na
3 11
Direct
0.0000 0.0000 0.0000
0.2879 0.7121 0.7121
0.7121 0.2879 0.2879
0.6331 0.7358 0.9981
0.8562 0.4238 0.8639
0.6331 0.9981 0.7358
0.5000 0.3405 0.6595
0.1438 0.1361 0.5762
0.0000 0.5000 0.5000
0.8562 0.8639 0.4238
0.5000 0.6595 0.3405
0.3669 0.0019 0.2642
0.1438 0.5762 0.1361
0.3669 0.2642 0.0019

Entry 9:
KNa4 (PBE, relaxed); ΔE_f = 0.061 eV/atom; E above lowest polymorph = 0.00 eV per formula unit; E = -1.21 eV per atom
1.0
-1.4359 -4.0623 3.1141
4.8031 -2.1941 -0.6142
1.0036 7.1833 5.2790
K Na
1 4
Direct
0.5000 0.0000 0.5000
0.7500 0.7500 0.0000
0.2500 0.2500 0.0000
0.8950 0.3950 0.2900
0.1050 0.6050 0.7100

Entry 10:
KNa3 (PBE, relaxed); ΔE_f = 0.035 eV/atom; E = -1.23 eV per atom
1.0
-2.1065 -1.6968 2.8237
2.1806 -5.8860 -1.9102
5.4219 0.5825 4.3948
Na K
3 1
Direct
0.0000 0.0000 0.9871
0.5000 0.0000 0.5323
0.5000 0.5000 0.8237
0.0000 0.5000 0.3236

Entry 11:
K3Na7 (PBE, relaxed); ΔE_f = 0.033 eV/atom; E = -1.22 eV per atom
1.0
5.8503 0.0000 0.0000
0.0000 8.0685 -0.0359
-2.9251 -2.7179 9.8955
K Na
3 7
Direct
0.0000 0.0000 0.0000
0.8004 0.3877 0.6007
0.1996 0.6123 0.3993
0.0000 0.5000 0.0000
0.8009 0.9069 0.6017
0.1991 0.0931 0.3983
0.5887 0.3153 0.1773
0.4113 0.6847 0.8227
0.6053 0.8177 0.2106
0.3947 0.1823 0.7894

Entry 12:
K3Na5 (PBE, relaxed); ΔE_f = 0.034 eV/atom; E above lowest polymorph = 0.04 eV per formula unit; E = -1.20 eV per atom
1.0
8.0264 -0.7966 0.0000
-1.5564 7.9142 0.0000
0.0000 0.0000 6.3150
K Na
3 5
Direct
0.5000 0.5000 0.0000
0.2506 0.7494 0.5000
0.7494 0.2506 0.5000
0.0000 0.0000 0.0000
0.5000 0.0000 0.0000
0.0000 0.5000 0.0000
0.2282 0.2282 0.5000
0.7718 0.7718 0.5000

Q: Number 9 is which compound?
A: KNa4